1.
## Cs2TbReO6 (PBE-GGA)

Data for a geometry-optimized Cs2TbReO6 structure.

The calculation puts the raw formation energy at -2055.7 meV per atom. The value obtained for the density of states at the Fermi level is 0.0000 states/eV/atom.

Lattice parameters (Å, degrees): 5.819 6.728 6.728 120.00 90.00 90.00
Sites, in units of the cell vectors:
Cs1 0.137 0.333 0.667
Cs2 0.863 0.667 0.333
Tb1 0.500 0.000 0.000
Re1 0.000 0.000 0.000
O1 0.798 0.130 0.260
O2 0.798 0.130 0.870
O3 0.798 0.740 0.870
O4 0.202 0.870 0.130
O5 0.202 0.260 0.130
O6 0.202 0.870 0.740

---

2.
## Sm12TmSc6 (PBE-GGA)

Data for a geometry-optimized Sm12TmSc6 structure.

The value obtained for the density of states at the Fermi level is 1.5724 states/eV/atom.

Lattice parameters (Å, degrees): 8.973 8.973 8.973 106.69 106.69 106.69
Sites, in units of the cell vectors:
Sm1 0.481 0.195 0.574
Sm2 0.195 0.574 0.481
Sm3 0.574 0.481 0.195
Sm4 0.519 0.805 0.426
Sm5 0.805 0.426 0.519
Sm6 0.426 0.519 0.805
Sm7 0.278 0.131 0.827
Sm8 0.173 0.722 0.869
Sm9 0.869 0.173 0.722
Sm10 0.722 0.869 0.173
Sm11 0.827 0.278 0.131
Sm12 0.131 0.827 0.278
Tm1 0.000 0.000 0.000
Sc1 0.074 0.187 0.460
Sc2 0.813 0.540 0.926
Sc3 0.540 0.926 0.813
Sc4 0.926 0.813 0.540
Sc5 0.187 0.460 0.074
Sc6 0.460 0.074 0.187

---

3.
## AlZnRu2 (PBE-GGA)

Data for a geometry-optimized AlZnRu2 structure.

The value obtained for the density of states at the Fermi level is 0.7870 states/eV/atom.

Lattice parameters (Å, degrees): 4.047 2.771 5.116 81.17 90.00 90.00
Sites, in units of the cell vectors:
Ru1 0.000 0.957 0.992
Ru2 0.000 0.543 0.508
Zn1 0.500 0.250 0.250
Al1 0.500 0.750 0.750

---

4.
## K2CdRe (PBE-GGA)

Data for a geometry-optimized K2CdRe structure.

The value obtained for the density of states at the Fermi level is 0.9622 states/eV/atom.

Lattice parameters (Å, degrees): 2.947 5.347 6.022 90.00 90.00 90.00
Last column: magnetic moment on the atom in μB.
Sites, in units of the cell vectors:
Cd1 0.000 0.500 0.500  -0.01
K1 0.000 0.000 0.000  0.00
K2 0.500 0.500 0.000  0.00
Re1 0.500 0.000 0.500  0.31

---

5.
## SiMoAs (PBE-GGA)

Data for a geometry-optimized SiMoAs structure.

The calculation puts the raw formation energy at 532.6 meV per atom. The value obtained for the density of states at the Fermi level is 0.6228 states/eV/atom.

Lattice parameters (Å, degrees): 4.196 4.196 4.196 60.00 60.00 60.00
Sites, in units of the cell vectors:
As1 0.000 0.000 0.000
Mo1 0.500 0.500 0.500
Si1 0.750 0.750 0.750

---

6.
## TiFeSi2 (PBE-GGA)

Data for a geometry-optimized TiFeSi2 structure.

The calculation puts the raw formation energy at 22.5 meV per atom. The value obtained for the density of states at the Fermi level is 0.8571 states/eV/atom.

Lattice parameters (Å, degrees): 3.597 3.597 9.082 78.58 78.58 90.00
Sites, in units of the cell vectors:
Si1 0.641 0.125 0.250
Si2 0.109 0.625 0.250
Si3 0.375 0.359 0.750
Si4 0.875 0.891 0.750
Fe1 0.000 0.000 0.000
Fe2 0.750 0.250 0.500
Ti1 0.500 0.500 0.000
Ti2 0.250 0.750 0.500

---

7.
## Ac4Sb2AsS (PBE-GGA)

Data for a geometry-optimized Ac4Sb2AsS structure.

The calculation puts the raw formation energy at -1477.2 meV per atom. The value obtained for the density of states at the Fermi level is 0.2470 states/eV/atom.

Lattice parameters (Å, degrees): 4.626 8.004 7.996 70.52 90.00 90.00
Sites, in units of the cell vectors:
Ac1 0.000 0.736 0.754
Ac2 0.000 0.264 0.246
Ac3 0.500 0.736 0.255
Ac4 0.500 0.264 0.745
Sb1 0.000 0.000 0.000
Sb2 0.500 0.000 0.500
As1 0.000 0.500 0.500
S1 0.500 0.500 0.000

---

8.
## BaYCu4O7 (PBE-GGA)

Data for a geometry-optimized BaYCu4O7 structure.

The calculation puts the raw formation energy at -1359.0 meV per atom. The value obtained for the density of states at the Fermi level is 0.8687 states/eV/atom.

Lattice parameters (Å, degrees): 6.318 6.318 10.423 90.00 90.00 120.00
Last column: magnetic moment on the atom in μB.
Sites, in units of the cell vectors:
Ba1 0.667 0.333 0.484  -0.01
Ba2 0.333 0.667 0.984  -0.01
Y1 0.667 0.333 0.880  0.02
Y2 0.333 0.667 0.380  0.02
Cu1 0.830 0.170 0.189  0.60
Cu2 0.660 0.830 0.689  0.60
Cu3 0.170 0.340 0.689  0.60
Cu4 0.830 0.660 0.189  0.60
Cu5 0.340 0.170 0.189  0.60
Cu6 0.170 0.830 0.689  0.60
Cu7 0.000 0.000 0.436  0.61
Cu8 0.000 0.000 0.936  0.61
O1 0.837 0.163 0.006  0.23
O2 0.674 0.837 0.506  0.23
O3 0.163 0.326 0.506  0.23
O4 0.837 0.674 0.006  0.23
O5 0.326 0.163 0.006  0.23
O6 0.163 0.837 0.506  0.23
O7 0.000 0.000 0.751  0.34
O8 0.000 0.000 0.251  0.34
O9 0.508 0.492 0.266  0.23
O10 0.016 0.508 0.766  0.23
O11 0.492 0.984 0.766  0.23
O12 0.508 0.016 0.266  0.23
O13 0.492 0.508 0.766  0.23
O14 0.984 0.492 0.266  0.23

---

9.
## PrTm2Tl3Se6 (PBE-GGA)

Data for a geometry-optimized PrTm2Tl3Se6 structure.

The calculation puts the raw formation energy at -1370.0 meV per atom.

Lattice parameters (Å, degrees): 7.294 7.294 8.141 98.59 98.59 119.97
Sites, in units of the cell vectors:
Pr1 0.000 0.000 0.000
Tm1 0.333 0.667 0.000
Tm2 0.667 0.333 0.000
Tl1 0.164 0.836 0.500
Tl2 0.836 0.164 0.500
Tl3 0.500 0.500 0.500
Se1 0.931 0.585 0.794
Se2 0.721 0.721 0.203
Se3 0.069 0.415 0.206
Se4 0.585 0.931 0.794
Se5 0.279 0.279 0.797
Se6 0.415 0.069 0.206

---

10.
## Tb15NdTl4 (PBE-GGA)

Data for a geometry-optimized Tb15NdTl4 structure.

The value obtained for the density of states at the Fermi level is 1.4137 states/eV/atom.

Lattice parameters (Å, degrees): 4.876 4.876 24.944 90.00 90.00 90.00
Last column: magnetic moment on the atom in μB.
Sites, in units of the cell vectors:
Tb1 0.500 0.500 0.000  0.01
Tb2 0.500 0.500 0.206  0.11
Tb3 0.500 0.500 0.402  0.18
Tb4 0.500 0.500 0.598  0.18
Tb5 0.500 0.500 0.794  0.11
Tb6 0.500 0.000 0.106  0.04
Tb7 0.500 0.000 0.304  0.12
Tb8 0.500 0.000 0.500  0.19
Tb9 0.500 0.000 0.696  0.12
Tb10 0.500 0.000 0.894  0.04
Tb11 0.000 0.500 0.106  0.04
Tb12 0.000 0.500 0.304  0.12
Tb13 0.000 0.500 0.500  0.19
Tb14 0.000 0.500 0.696  0.12
Tb15 0.000 0.500 0.894  0.04
Nd1 0.000 0.000 0.000  0.00
Tl1 0.000 0.000 0.207  0.00
Tl2 0.000 0.000 0.402  -0.01
Tl3 0.000 0.000 0.598  -0.01
Tl4 0.000 0.000 0.793  0.00

---

11.
## CoRuCl3 (PBE-GGA)

Data for a geometry-optimized CoRuCl3 structure.

The calculation puts the raw formation energy at -211.4 meV per atom. The value obtained for the density of states at the Fermi level is 0.0162 states/eV/atom.

Lattice parameters (Å, degrees): 6.455 3.571 9.638 83.37 94.90 71.29
Last column: magnetic moment on the atom in μB.
Sites, in units of the cell vectors:
Ru1 0.330 0.468 0.273  1.39
Ru2 0.664 0.771 0.970  -0.11
Co1 0.598 0.770 0.311  2.02
Co2 0.461 0.044 0.519  2.15
Cl1 0.411 0.993 0.760  0.05
Cl2 0.726 0.412 0.530  0.14
Cl3 0.900 0.553 0.192  0.04
Cl4 0.426 0.390 0.044  0.01
Cl5 0.192 0.685 0.479  0.10
Cl6 0.868 0.177 0.894  -0.01

---

12.
## La5Y6Tm (PBE-GGA)

Data for a geometry-optimized La5Y6Tm structure.

The value obtained for the density of states at the Fermi level is 1.5884 states/eV/atom.

Lattice parameters (Å, degrees): 6.230 7.357 9.652 67.56 88.36 89.97
Sites, in units of the cell vectors:
Y1 0.832 0.586 0.331
Y2 0.832 0.084 0.331
Y3 0.500 0.752 0.000
Y4 0.500 0.248 0.000
Y5 0.168 0.916 0.669
Y6 0.168 0.414 0.669
Tm1 0.000 0.000 0.000
La1 0.670 0.164 0.671
La2 0.335 0.333 0.334
La3 0.000 0.500 0.000
La4 0.665 0.667 0.666
La5 0.330 0.836 0.329

---

13.
## V2GeC2 (PBE-GGA)

Data for a geometry-optimized V2GeC2 structure.

The value obtained for the density of states at the Fermi level is 0.5378 states/eV/atom.

Lattice parameters (Å, degrees): 3.933 3.933 4.934 66.51 66.51 90.00
Sites, in units of the cell vectors:
Ge1 0.000 0.000 0.000
C1 0.299 0.299 0.403
C2 0.701 0.701 0.597
V1 0.750 0.250 0.500
V2 0.250 0.750 0.500

---

14.
## CoCuOs2 (PBE-GGA)

Data for a geometry-optimized CoCuOs2 structure.

The value obtained for the density of states at the Fermi level is 1.0460 states/eV/atom.

Lattice parameters (Å, degrees): 8.627 8.627 8.627 17.92 17.92 17.92
Last column: magnetic moment on the atom in μB.
Sites, in units of the cell vectors:
Co1 0.500 0.500 0.500  1.33
Cu1 0.753 0.753 0.753  0.00
Os1 0.000 0.000 0.000  -0.11
Os2 0.248 0.248 0.248  -0.04

---

15.
## LiSm6Hg5 (PBE-GGA)

Data for a geometry-optimized LiSm6Hg5 structure.

The value obtained for the density of states at the Fermi level is 1.1758 states/eV/atom.

Lattice parameters (Å, degrees): 5.339 9.296 9.296 120.27 106.69 106.69
Last column: magnetic moment on the atom in μB.
Sites, in units of the cell vectors:
Hg1 0.500 0.155 0.845  0.01
Hg2 0.000 0.334 0.666  0.02
Hg3 0.500 0.500 0.500  0.01
Hg4 0.000 0.666 0.334  0.02
Hg5 0.500 0.845 0.155  0.01
Sm1 0.251 0.082 0.420  0.16
Sm2 0.749 0.580 0.918  0.16
Sm3 0.755 0.255 0.255  0.11
Sm4 0.245 0.745 0.745  0.11
Sm5 0.251 0.420 0.082  0.16
Sm6 0.749 0.918 0.580  0.16
Li1 0.000 0.000 0.000  0.00

---

16.
## Mn2CuOs (PBE-GGA)

Data for a geometry-optimized Mn2CuOs structure.

The value obtained for the density of states at the Fermi level is 1.0124 states/eV/atom.

Lattice parameters (Å, degrees): 4.219 2.694 4.503 90.00 90.00 90.00
Last column: magnetic moment on the atom in μB.
Sites, in units of the cell vectors:
Cu1 0.500 0.625 0.800  0.00
Mn1 0.000 0.125 0.949  2.54
Mn2 0.500 0.125 0.296  -2.47
Os1 0.000 0.625 0.454  0.09

---

17.
## TiGeTeCl2 (PBE-GGA)

Data for a geometry-optimized TiGeTeCl2 structure.

The calculation puts the raw formation energy at 623.1 meV per atom. The value obtained for the density of states at the Fermi level is 2.0194 states/eV/atom.

Lattice parameters (Å, degrees): 5.294 5.431 5.294 90.00 90.00 90.00
Sites, in units of the cell vectors:
Cl1 0.000 0.000 0.500
Cl2 0.500 0.000 0.000
Ge1 0.500 0.500 0.500
Te1 0.000 0.000 0.000
Ti1 0.000 0.500 0.000

---

18.
## CePmTh2Bi5 (PBE-GGA)

Data for a geometry-optimized CePmTh2Bi5 structure.

The value obtained for the density of states at the Fermi level is 1.1264 states/eV/atom.

Lattice parameters (Å, degrees): 5.529 5.529 11.921 90.00 90.00 90.00
Last column: magnetic moment on the atom in μB.
Sites, in units of the cell vectors:
Ce1 0.000 0.000 0.000  0.83
Pm1 0.000 0.000 0.500  -0.01
Th1 0.500 0.500 0.312  -0.02
Th2 0.500 0.500 0.688  -0.02
Bi1 0.000 0.500 0.500  0.01
Bi2 0.500 0.000 0.500  0.01
Bi3 0.000 0.000 0.752  -0.01
Bi4 0.000 0.000 0.248  -0.01
Bi5 0.500 0.500 0.000  -0.03

---

19.
## KSrW2 (PBE-GGA)

Data for a geometry-optimized KSrW2 structure.

The value obtained for the density of states at the Fermi level is 1.1947 states/eV/atom.

Lattice parameters (Å, degrees): 2.852 5.603 7.429 90.00 90.00 90.00
Sites, in units of the cell vectors:
K1 0.500 0.500 0.250
Sr1 0.500 0.500 0.750
W1 0.000 0.000 0.910
W2 0.000 0.000 0.590

---

20.
## CsBa2NdBr8 (PBE-GGA)

Data for a geometry-optimized CsBa2NdBr8 structure.

The calculation puts the raw formation energy at -1991.6 meV per atom. The value obtained for the density of states at the Fermi level is 0.0000 states/eV/atom.

Lattice parameters (Å, degrees): 7.369 7.281 10.156 89.96 89.99 90.28
Sites, in units of the cell vectors:
Cs1 0.000 0.000 0.500
Ba1 0.500 0.500 0.752
Ba2 0.500 0.500 0.248
Nd1 0.000 0.000 0.000
Br1 0.149 0.766 0.204
Br2 0.675 0.756 0.000
Br3 0.850 0.233 0.204
Br4 0.851 0.234 0.796
Br5 0.325 0.244 0.000
Br6 0.150 0.767 0.796
Br7 0.600 0.741 0.500
Br8 0.400 0.259 0.500

---

| no. | raw total energy (eV/atom) |
| --- | --- |
| 1 | -6.91 |
| 2 | -4.94 |
| 3 | -6.00 |
| 4 | -2.67 |
| 5 | -6.44 |
| 6 | -6.78 |
| 7 | -5.66 |
| 8 | -5.93 |
| 9 | -4.85 |
| 10 | -4.32 |
| 11 | -4.60 |
| 12 | -5.63 |
| 13 | -7.98 |
| 14 | -8.17 |
| 15 | -3.04 |
| 16 | -8.27 |
| 17 | -3.25 |
| 18 | -4.86 |
| 19 | -5.71 |
| 20 | -3.90 |